[1]
VASP calculation (PBE) on crystalline TiVI6 at its relaxed geometry.

Computed properties:
The theoretical density comes out at 4.62 g/cm3. Its total DFT energy (no corrections) is -3.825 eV/atom. The calculation puts the uncorrected formation energy at -4.29 eV/f.u.

Structure (extended XYZ):
```
8
Lattice="-4.8268 -3.5162 -3.3823 5.7923 -3.1893 4.4623 -4.6098 3.6562 5.0341" Properties=species:S:1:pos:R:3 pbc="T T T"
I -0.9528 -2.5262 -0.5679
I -3.9305 -2.3361 3.4247
I 1.9184 -4.1793 1.6479
I 0.2862 -0.7132 2.6893
I 3.1781 -2.3049 4.9171
I -6.8224 -0.7444 1.1969
Ti 0.0000 0.0000 0.0000
V 2.8962 -1.5947 2.2311
```


[2]
VASP calculation (PBE) on crystalline NaLuCdGe at its relaxed geometry.

Computed properties:
The theoretical density comes out at 6.98 g/cm3. The value obtained for the calculated formation energy is -0.2553 eV per atom. Its total DFT energy (no corrections) is -3.098 eV/atom.

Structure (extended XYZ):
```
4
Lattice="-1.4154 0.9108 -4.7616 1.9596 -2.7158 -3.7802 -2.8755 -3.3425 -2.4629" Properties=species:S:1:pos:R:3 pbc="T T T"
Lu -1.1656 -2.5738 -5.5024
Cd -1.7485 -3.8607 -8.2536
Na 0.0000 0.0000 0.0000
Ge -0.5828 -1.2869 -2.7512
```


[3]
VASP calculation (PBE) on crystalline LaPm2C at its relaxed geometry.

Computed properties:
The theoretical density comes out at 6.51 g/cm3. The value obtained for the calculated formation energy is -0.0635 eV per atom. The energy above the most stable polymorph in this dataset is 0 meV/atom. Its total DFT energy (no corrections) is -5.977 eV/atom.

Structure (extended XYZ):
```
4
Lattice="-0.5031 -3.3845 1.3676 1.0421 0.4335 -3.5080 9.1786 -0.2778 2.6894" Properties=species:S:1:pos:R:3 pbc="T T T"
Pm 6.4734 -1.0189 -0.1400
Pm 3.2441 -2.2098 0.6890
C 4.5893 -0.1389 1.3447
La 0.0000 0.0000 0.0000
```


[4]
VASP calculation (PBE) on crystalline ScReC3 at its relaxed geometry.

Computed properties:
The theoretical density comes out at 7.08 g/cm3. The value obtained for the calculated formation energy is 2.9240 eV per atom. The energy above the most stable polymorph in this dataset is 1938 meV/atom. Its total DFT energy (no corrections) is -6.366 eV/atom.

Structure (extended XYZ):
```
5
Lattice="3.9715 0.0000 0.0000 0.0000 3.9715 0.0000 0.0000 0.0000 3.9715" Properties=species:S:1:pos:R:3 pbc="T T T"
Sc 0.0000 0.0000 0.0000
C 0.0000 1.9858 0.0000
C 0.0000 0.0000 1.9858
C 1.9858 0.0000 0.0000
Re 1.9858 1.9858 1.9858
```


[5]
VASP calculation (PBE) on crystalline HoTlPd at its relaxed geometry.

Computed properties:
The theoretical density comes out at 10.50 g/cm3. The value obtained for the calculated formation energy is -0.5213 eV per atom. The energy above the most stable polymorph in this dataset is 127 meV/atom. Its total DFT energy (no corrections) is -4.567 eV/atom.

Structure (extended XYZ):
```
3
Lattice="-2.2341 2.4506 3.3855 -4.6660 -0.5403 0.6289 -1.6295 -2.2264 3.8531" Properties=species:S:1:pos:R:3 pbc="T T T"
Pd -2.1324 -0.0790 1.9669
Ho 0.0000 0.0000 0.0000
Tl -4.2648 -0.1580 3.9338
```


[6]
VASP calculation (PBE) on crystalline In2NiPt at its relaxed geometry.

Computed properties:
The theoretical density comes out at 11.66 g/cm3. The value obtained for the calculated formation energy is -0.1997 eV per atom. Its total DFT energy (no corrections) is -4.524 eV/atom.

Structure (extended XYZ):
```
4
Lattice="-1.4901 3.8295 3.2865 0.4639 -1.0225 5.1407 3.0940 -0.3846 -4.2387" Properties=species:S:1:pos:R:3 pbc="T T T"
In -0.0001 0.0003 0.0009
In 0.5448 2.4258 1.6356
Ni -0.5128 1.4026 4.2109
Pt 1.5227 -0.0029 2.5547
```


[7]
VASP calculation (PBE) on crystalline Cd6Ag2Pt at its relaxed geometry.

Computed properties:
The theoretical density comes out at 8.51 g/cm3. The value obtained for the calculated formation energy is -0.0538 eV per atom. The energy above the most stable polymorph in this dataset is 35 meV/atom. Its total DFT energy (no corrections) is -1.969 eV/atom.

Structure (extended XYZ):
```
9
Lattice="4.6587 0.0000 -0.1161 0.0000 6.5499 0.0000 -1.9712 -3.2749 6.9900" Properties=species:S:1:pos:R:3 pbc="T T T"
Cd 2.6015 1.6552 4.6270
Cd 2.6015 -1.6552 4.6270
Cd 2.3294 4.9946 -0.0580
Cd 0.0861 1.6197 2.2470
Cd 2.3294 1.5553 -0.0580
Cd 0.0861 4.9301 2.2470
Pt 0.0000 0.0000 0.0000
Ag 2.4165 3.2749 2.2573
Ag 0.2711 0.0000 4.6167
```


[8]
VASP calculation (PBE) on crystalline Cs4Ag3Cl12 at its relaxed geometry.

Computed properties:
The theoretical density comes out at 2.50 g/cm3. Its total DFT energy (no corrections) is -2.805 eV/atom. The calculation puts the uncorrected formation energy at -19.18 eV/f.u.

Structure (extended XYZ):
```
19
Lattice="-9.8040 0.6036 -3.2258 5.7990 -4.3213 -7.3882 0.4612 -5.7756 8.5625" Properties=species:S:1:pos:R:3 pbc="T T T"
Cl 0.9364 -4.3516 1.1708
Cl -6.5501 -3.8367 1.9304
Cl 3.0064 -5.6565 -3.9819
Cl -1.8557 -5.6932 4.5864
Cl 2.7008 -7.1973 1.5018
Cl -2.9844 -6.7409 1.5950
Cl -1.6880 -3.8001 -6.6378
Cl -3.9170 -2.3790 0.4264
Cl -0.5593 -2.7523 -3.6464
Cl 0.3733 -7.1142 -2.4778
Cl -6.2445 -2.2959 -3.5533
Cl -4.4801 -5.1416 -3.2223
Ag 3.1301 -5.0484 0.5872
Ag -4.6714 -2.5860 2.6684
Ag -2.0025 -1.8588 -5.3070
Cs -1.7719 -4.7466 -1.0257
Cs 0.2306 -2.8878 4.2813
Cs 2.8995 -2.1606 -3.6941
Cs -4.9020 0.3018 -1.6129
```


[9]
VASP calculation (PBE) on crystalline Ca2Br at its relaxed geometry.

Computed properties:
The theoretical density comes out at 2.62 g/cm3. The energy above the most stable polymorph in this dataset is 10 meV/atom. Its total DFT energy (no corrections) is -2.777 eV/atom. The calculation puts the uncorrected formation energy at -2.66 eV/f.u.

Structure (extended XYZ):
```
9
Lattice="3.9442 0.0000 0.0000 -1.9721 3.4158 0.0000 0.0000 0.0000 22.6032" Properties=species:S:1:pos:R:3 pbc="T T T"
Br 0.0000 2.2772 18.6500
Br 1.9721 1.1386 11.1156
Br 0.0000 0.0000 3.5812
Ca 0.0000 0.0000 16.3830
Ca 1.9721 1.1386 1.3142
Ca 0.0000 2.2772 8.8486
Ca 1.9721 1.1386 5.8591
Ca 0.0000 2.2772 13.3936
Ca 0.0000 0.0000 20.9279
```


[10]
VASP calculation (PBE) on crystalline Er5Bi4S at its relaxed geometry.

Computed properties:
The theoretical density comes out at 9.76 g/cm3. Its total DFT energy (no corrections) is -5.234 eV/atom. The calculation puts the uncorrected formation energy at -9.87 eV/f.u.

Structure (extended XYZ):
```
10
Lattice="-3.8234 -4.6063 -1.5854 3.0050 -5.0449 -4.6841 0.2809 -5.9644 4.5572" Properties=species:S:1:pos:R:3 pbc="T T T"
Er -2.1160 -6.4955 -0.2657
Er 1.5622 -9.1397 -1.4533
Er -2.0854 -10.9582 0.5320
Er -1.8444 -2.2221 -0.7648
Er 1.5315 -4.6770 -2.2510
Bi -0.5451 -11.2913 -2.2134
Bi -0.0083 -4.3434 0.4946
Bi -0.3944 -7.0501 -2.8046
Bi -0.1589 -8.5846 1.0858
S -0.0422 -0.0509 -0.0175
```


[11]
VASP calculation (PBE) on crystalline Si2AuC at its relaxed geometry.

Computed properties:
The theoretical density comes out at 7.57 g/cm3. Its total DFT energy (no corrections) is -5.861 eV/atom. The calculation puts the uncorrected formation energy at -0.10 eV/f.u.

Structure (extended XYZ):
```
4
Lattice="3.0826 0.0000 0.0000 0.0000 3.0826 0.0000 0.0000 0.0000 6.1178" Properties=species:S:1:pos:R:3 pbc="T T T"
Si 1.5413 0.0000 4.1579
Si 0.0000 1.5413 1.9598
Au 1.5413 1.5413 0.0000
C 0.0000 0.0000 3.0589
```


[12]
VASP calculation (PBE) on crystalline LaTb2SmY at its relaxed geometry.

Computed properties:
The theoretical density comes out at 6.48 g/cm3. The value obtained for the calculated formation energy is 0.3565 eV per atom. Its total DFT energy (no corrections) is -4.718 eV/atom.

Structure (extended XYZ):
```
10
Lattice="7.2491 0.0000 0.0000 0.0000 8.4505 0.0000 0.0000 -4.2252 5.8238" Properties=species:S:1:pos:R:3 pbc="T T T"
Sm 5.4368 4.2252 5.7015
Sm 1.8123 0.0000 0.1223
Tb 3.6246 2.6282 0.0000
Tb 0.0000 2.6282 0.0000
Tb 3.6246 5.8223 0.0000
Tb 0.0000 5.8223 0.0000
La 1.8123 0.0000 3.1725
La 5.4368 4.2252 2.6514
Y 1.8123 4.2252 2.6386
Y 5.4368 0.0000 3.1852
```


Copy entry 5 word for word.
VASP calculation (PBE) on crystalline HoTlPd at its relaxed geometry.

Computed properties:
The theoretical density comes out at 10.50 g/cm3. The value obtained for the calculated formation energy is -0.5213 eV per atom. The energy above the most stable polymorph in this dataset is 127 meV/atom. Its total DFT energy (no corrections) is -4.567 eV/atom.

Structure (extended XYZ):
```
3
Lattice="-2.2341 2.4506 3.3855 -4.6660 -0.5403 0.6289 -1.6295 -2.2264 3.8531" Properties=species:S:1:pos:R:3 pbc="T T T"
Pd -2.1324 -0.0790 1.9669
Ho 0.0000 0.0000 0.0000
Tl -4.2648 -0.1580 3.9338
```


Repeat the ninth record exactly.
VASP calculation (PBE) on crystalline Ca2Br at its relaxed geometry.

Computed properties:
The theoretical density comes out at 2.62 g/cm3. The energy above the most stable polymorph in this dataset is 10 meV/atom. Its total DFT energy (no corrections) is -2.777 eV/atom. The calculation puts the uncorrected formation energy at -2.66 eV/f.u.

Structure (extended XYZ):
```
9
Lattice="3.9442 0.0000 0.0000 -1.9721 3.4158 0.0000 0.0000 0.0000 22.6032" Properties=species:S:1:pos:R:3 pbc="T T T"
Br 0.0000 2.2772 18.6500
Br 1.9721 1.1386 11.1156
Br 0.0000 0.0000 3.5812
Ca 0.0000 0.0000 16.3830
Ca 1.9721 1.1386 1.3142
Ca 0.0000 2.2772 8.8486
Ca 1.9721 1.1386 5.8591
Ca 0.0000 2.2772 13.3936
Ca 0.0000 0.0000 20.9279
```